Record 1
The following is a DFT calculation (SCAN) of TlIn2ReO at its PBEsol-relaxed geometry.

Summary:
E_form (uncorrected) (eV per atom): 0.826
Electronic total energy (eV per atom): -42.47

Structure (POSCAR):
```
TlIn2ReO
1.0
-4.2344 2.9282 -0.1817
0.1506 -0.1018 -5.1483
-2.9704 -4.2955 -0.0019
In Tl O Re
2 1 1 1
Cartesian
-2.1172 1.4641 -0.0909
0.0753 -0.0509 -2.5741
-1.4852 -2.1478 -0.0010
-3.5271 -0.7345 -2.6660
0.0000 0.0000 0.0000
```



Record 2
The following is a DFT calculation (SCAN) of Fe11O12 at its PBEsol-relaxed geometry.

Summary:
E_form (uncorrected) (eV per atom): -1.386
Electronic total energy (eV per atom): -13.31

Structure (POSCAR):
```
Fe11O12
1.0
-5.5469 1.8869 -1.1600
-0.2561 -0.1487 -6.6550
-4.4475 -4.6596 -1.7092
O Fe
12 11
Cartesian
-5.7470 -2.8685 -8.3718
-0.7906 -0.4317 -4.5427
-8.0809 -1.8285 -2.2852
-4.3778 -2.2259 -5.7325
-2.1697 -1.0929 -7.2389
-7.1730 -1.3718 -6.3268
-3.0776 -1.5496 -3.1973
-9.4599 -2.4897 -4.9815
-4.5036 -0.0529 -1.1523
-6.6939 -3.4524 -4.3496
-5.8728 -0.6955 -3.7916
-3.5566 0.5309 -5.1746
-4.1357 0.3247 -3.1197
-4.8701 -2.5764 -3.6513
-6.6034 -0.9306 -8.3409
-3.6472 -1.9908 -1.1833
-5.3805 -0.3450 -5.8729
-7.7626 -1.6019 -4.2844
-6.1149 -3.2461 -6.4044
-2.4880 -1.3195 -5.2398
-1.2327 -0.6720 -2.4918
-9.0178 -2.2495 -7.0324
-2.7735 0.9435 -0.5800
```



Record 3
The following is a DFT calculation (SCAN) of IrRh2Cl at its PBEsol-relaxed geometry.

Summary:
E_form (uncorrected) (eV per atom): 0.829
Energy above the most stable polymorph in this dataset (eV/atom): 0.6048
Electronic total energy (eV per atom): -35.83

Structure (POSCAR):
```
IrRh2Cl
1.0
2.7130 0.0000 0.0000
0.0000 4.5618 0.0000
0.0000 0.0000 4.6109
Rh Ir Cl
2 1 1
Cartesian
0.0000 0.0000 0.0000
1.3565 0.0000 2.3055
0.0000 2.2809 2.3055
1.3565 2.2809 0.0000
```



Record 4
The following is a DFT calculation (SCAN) of Y3Lu at its PBEsol-relaxed geometry.

Summary:
Electronic total energy (eV per atom): -34.71
ΔH_f (0 K) (meV per atom): 7.6

Structure (POSCAR):
```
Y3Lu
1.0
-1.3736 -2.3598 4.7995
-5.4908 -3.2265 -3.1578
6.3428 -3.2002 0.2418
Lu Y
2 6
Cartesian
-1.8897 -3.8077 -0.8247
1.3681 -4.9788 2.7082
4.0144 -3.7945 0.8714
-4.5360 -4.9919 1.0121
1.2867 -5.3974 -0.6973
0.8635 -2.2048 0.7513
-1.3851 -6.5817 1.1322
-1.8083 -3.3891 2.5808
```



Record 5
The following is a DFT calculation (SCAN) of Cu2TcAs at its PBEsol-relaxed geometry.

Summary:
Electronic total energy (eV per atom): -21.13
ΔH_f (0 K) (meV per atom): 278.5

Structure (POSCAR):
```
Cu2TcAs
1.0
-2.4442 -0.5410 0.7963
1.2149 -3.5630 1.3085
1.0330 2.0207 4.5433
As Cu Tc
1 2 1
Cartesian
-0.0981 -1.0416 3.3241
0.7843 1.5341 3.4493
0.2487 0.4866 1.0940
-0.6146 -2.0520 1.0524
```



Record 6
The following is a DFT calculation (SCAN) of LaZn2Te at its PBEsol-relaxed geometry.

Summary:
E_form (uncorrected) (eV per atom): -0.365
Electronic total energy (eV per atom): -27.21

Structure (POSCAR):
```
LaZn2Te
1.0
-2.8083 -4.1649 1.1682
1.1556 -4.5632 -2.1069
2.0278 -3.7442 2.9097
La Zn Te
1 2 1
Cartesian
0.1875 -6.2362 0.9855
0.2813 -9.3543 1.4783
0.0000 0.0000 0.0000
0.0938 -3.1181 0.4928
```



| no. | magnetic moment (μB/atom) |
| --- | --- |
| 1 | 0.485 |
| 2 | 2.000 |
| 3 | 0.000 |
| 4 | 0.400 |
| 5 | 0.000 |
| 6 | 0.000 |